1.
# La2SnHg (GGA-PBEsol, optimized geometry)
# - Theoretical density: 8627 kg/m3
# - Spin magnetization: 0.0 μB per formula unit
# - E_form: -0.6799 eV/atom
data_La2SnHg
_chemical_formula_sum 'La8 Sn4 Hg4'
_space_group_name_H-M_alt 'F m -3 m'
_space_group_IT_number 225
_space_group_name_Hall '-F 4 2 3'
_cell_length_a 7.718
_cell_length_b 7.718
_cell_length_c 7.718
_cell_angle_alpha 90.00
_cell_angle_beta 90.00
_cell_angle_gamma 90.00
loop_
_atom_site_label
_atom_site_type_symbol
_atom_site_fract_x
_atom_site_fract_y
_atom_site_fract_z
_atom_site_occupancy
La1 La 0.250 0.250 0.250 1
Sn1 Sn 0.000 0.000 0.000 1
Hg1 Hg 0.000 0.000 0.500 1

---

2.
# La2SnHg2 (GGA-PBEsol, optimized geometry)
# - Theoretical density: 9560 kg/m3
# - Spin magnetization: 0.0 μB per formula unit
# - E_form: -0.6009 eV/atom
data_La2SnHg2
_chemical_formula_sum 'La4 Sn2 Hg4'
_space_group_name_H-M_alt 'P 4/m b m'
_space_group_IT_number 127
_space_group_name_Hall '-P 4 2ab'
_cell_length_a 7.732
_cell_length_b 7.732
_cell_length_c 4.635
_cell_angle_alpha 90.00
_cell_angle_beta 90.00
_cell_angle_gamma 90.00
loop_
_atom_site_label
_atom_site_type_symbol
_atom_site_fract_x
_atom_site_fract_y
_atom_site_fract_z
_atom_site_occupancy
La1 La 0.173 0.327 0.000 1
Sn1 Sn 0.000 0.000 0.500 1
Hg1 Hg 0.130 0.630 0.500 1

---

3.
# LaSnHg3 (GGA-PBEsol, optimized geometry)
# - Theoretical density: 9369 kg/m3
# - Spin magnetization: 0.0 μB per formula unit
# - E_form: 0.1133 eV/atom
data_LaSnHg3
_chemical_formula_sum 'La1 Sn1 Hg3'
_space_group_name_H-M_alt 'P m -3 m'
_space_group_IT_number 221
_space_group_name_Hall '-P 4 2 3'
_cell_length_a 5.340
_cell_length_b 5.340
_cell_length_c 5.340
_cell_angle_alpha 90.00
_cell_angle_beta 90.00
_cell_angle_gamma 90.00
loop_
_atom_site_label
_atom_site_type_symbol
_atom_site_fract_x
_atom_site_fract_y
_atom_site_fract_z
_atom_site_occupancy
La1 La 0.000 0.000 0.000 1
Sn1 Sn 0.500 0.500 0.500 1
Hg1 Hg 0.000 0.500 0.500 1

---

4.
# SrLaHg2 (GGA-PBEsol, optimized geometry)
# - Theoretical density: 8970 kg/m3
# - Spin magnetization: 0.0 μB per formula unit
# - E_form: -0.5725 eV/atom
data_SrLaHg2
_chemical_formula_sum 'Sr1 La1 Hg2'
_space_group_name_H-M_alt 'P 4/m m m'
_space_group_IT_number 123
_space_group_name_Hall '-P 4 2'
_cell_length_a 3.857
_cell_length_b 3.857
_cell_length_c 7.811
_cell_angle_alpha 90.00
_cell_angle_beta 90.00
_cell_angle_gamma 90.00
loop_
_atom_site_label
_atom_site_type_symbol
_atom_site_fract_x
_atom_site_fract_y
_atom_site_fract_z
_atom_site_occupancy
Sr1 Sr 0.000 0.000 0.000 1
La1 La 0.000 0.000 0.500 1
Hg1 Hg 0.500 0.500 0.263 1

---

5.
# Sr2LaHg (GGA-PBEsol, optimized geometry)
# - Theoretical density: 5601 kg/m3
# - Spin magnetization: 0.0 μB per formula unit
# - E_form: -0.2385 eV/atom
data_Sr2LaHg
_chemical_formula_sum 'Sr2 La1 Hg1'
_space_group_name_H-M_alt 'P 4 m m'
_space_group_IT_number 99
_cell_length_a 3.893
_cell_length_b 3.893
_cell_length_c 10.071
_cell_angle_alpha 90.00
_cell_angle_beta 90.00
_cell_angle_gamma 90.00
loop_
_space_group_symop_operation_xyz
'x,y,z'
'-y,x,z'
'-x,-y,z'
'y,-x,z'
'-x,y,z'
'y,x,z'
'x,-y,z'
'-y,-x,z'
loop_
_atom_site_label
_atom_site_type_symbol
_atom_site_fract_x
_atom_site_fract_y
_atom_site_fract_z
_atom_site_occupancy
Sr1 Sr 0.000 0.000 0.000 1
Sr2 Sr 0.500 0.500 0.333 1
La1 La 0.500 0.500 0.705 1
Hg1 Hg 0.000 0.000 0.532 1

---

6.
# SrLaHg2 (GGA-PBEsol, optimized geometry)
# - Theoretical density: 9015 kg/m3
# - Spin magnetization: 0.0 μB per formula unit
# - E_form: -0.5727 eV/atom
data_SrLaHg2
_chemical_formula_sum 'Sr1 La1 Hg2'
_space_group_name_H-M_alt 'P m m 2'
_space_group_IT_number 25
_cell_length_a 3.820
_cell_length_b 5.501
_cell_length_c 5.501
_cell_angle_alpha 90.00
_cell_angle_beta 90.00
_cell_angle_gamma 90.00
loop_
_space_group_symop_operation_xyz
'x,y,z'
'-x,-y,z'
'-x,y,z'
'x,-y,z'
loop_
_atom_site_label
_atom_site_type_symbol
_atom_site_fract_x
_atom_site_fract_y
_atom_site_fract_z
_atom_site_occupancy
Sr1 Sr 0.000 0.000 0.000 1
La1 La 0.000 0.500 0.501 1
Hg1 Hg 0.500 0.000 0.500 1
Hg2 Hg 0.500 0.500 0.001 1

---

7.
# SrLaHg2 (GGA-PBEsol, optimized geometry)
# - Theoretical density: 9046 kg/m3
# - Spin magnetization: 0.0 μB per formula unit
# - E_form: -0.5690 eV/atom
data_SrLaHg2
_chemical_formula_sum 'Sr4 La4 Hg8'
_space_group_name_H-M_alt 'F m -3 m'
_space_group_IT_number 225
_space_group_name_Hall '-F 4 2 3'
_cell_length_a 7.724
_cell_length_b 7.724
_cell_length_c 7.724
_cell_angle_alpha 90.00
_cell_angle_beta 90.00
_cell_angle_gamma 90.00
loop_
_atom_site_label
_atom_site_type_symbol
_atom_site_fract_x
_atom_site_fract_y
_atom_site_fract_z
_atom_site_occupancy
Sr1 Sr 0.000 0.000 0.000 1
La1 La 0.000 0.000 0.500 1
Hg1 Hg 0.250 0.250 0.250 1

---

8.
# LaTa3Hg (GGA-PBEsol, optimized geometry)
# - Theoretical density: 11185 kg/m3
# - Spin magnetization: 0.0 μB per formula unit
# - E_form: 1.7972 eV/atom
data_LaTa3Hg
_chemical_formula_sum 'La1 Ta3 Hg1'
_space_group_name_H-M_alt 'P m -3 m'
_space_group_IT_number 221
_space_group_name_Hall '-P 4 2 3'
_cell_length_a 5.079
_cell_length_b 5.079
_cell_length_c 5.079
_cell_angle_alpha 90.00
_cell_angle_beta 90.00
_cell_angle_gamma 90.00
loop_
_atom_site_label
_atom_site_type_symbol
_atom_site_fract_x
_atom_site_fract_y
_atom_site_fract_z
_atom_site_occupancy
La1 La 0.000 0.000 0.000 1
Ta1 Ta 0.000 0.500 0.500 1
Hg1 Hg 0.500 0.500 0.500 1

---

9.
# LaTaHg2 (GGA-PBEsol, optimized geometry)
# - Theoretical density: 13901 kg/m3
# - Spin magnetization: 0.0 μB per formula unit
# - E_form: 0.0010 eV/atom
# - E above lowest polymorph: 0.0000 eV/atom
data_LaTaHg2
_chemical_formula_sum 'La1 Ta1 Hg2'
_space_group_name_H-M_alt 'P 4/m m m'
_space_group_IT_number 123
_space_group_name_Hall '-P 4 2'
_cell_length_a 3.093
_cell_length_b 3.093
_cell_length_c 9.001
_cell_angle_alpha 90.00
_cell_angle_beta 90.00
_cell_angle_gamma 90.00
loop_
_atom_site_label
_atom_site_type_symbol
_atom_site_fract_x
_atom_site_fract_y
_atom_site_fract_z
_atom_site_occupancy
La1 La 0.000 0.000 0.000 1
Ta1 Ta 0.000 0.000 0.500 1
Hg1 Hg 0.500 0.500 0.278 1

---

10.
# LaTaHg2 (GGA-PBEsol, optimized geometry)
# - Theoretical density: 13360 kg/m3
# - Spin magnetization: 0.0 μB per formula unit
# - E_form: 0.0350 eV/atom
# - E above lowest polymorph: 0.0340 eV/atom
data_LaTaHg2
_chemical_formula_sum 'La1 Ta1 Hg2'
_space_group_name_H-M_alt 'P m m m'
_space_group_IT_number 47
_cell_length_a 3.070
_cell_length_b 4.131
_cell_length_c 7.065
_cell_angle_alpha 90.00
_cell_angle_beta 90.00
_cell_angle_gamma 90.00
loop_
_space_group_symop_operation_xyz
'x,y,z'
'-x,-y,-z'
'-x,-y,z'
'x,y,-z'
'x,-y,-z'
'-x,y,z'
'-x,y,-z'
'x,-y,z'
loop_
_atom_site_label
_atom_site_type_symbol
_atom_site_fract_x
_atom_site_fract_y
_atom_site_fract_z
_atom_site_occupancy
La1 La 0.000 0.000 0.000 1
Ta1 Ta 0.000 0.000 0.500 1
Hg1 Hg 0.500 0.500 0.292 1

---

11.
# LaTa2Hg (GGA-PBEsol, optimized geometry)
# - Theoretical density: 13165 kg/m3
# - Spin magnetization: 0.0 μB per formula unit
# - E_form: 0.1881 eV/atom
data_LaTa2Hg
_chemical_formula_sum 'La1 Ta2 Hg1'
_space_group_name_H-M_alt 'P m m 2'
_space_group_IT_number 25
_cell_length_a 3.066
_cell_length_b 3.681
_cell_length_c 7.840
_cell_angle_alpha 90.00
_cell_angle_beta 90.00
_cell_angle_gamma 90.00
loop_
_space_group_symop_operation_xyz
'x,y,z'
'-x,-y,z'
'-x,y,z'
'x,-y,z'
loop_
_atom_site_label
_atom_site_type_symbol
_atom_site_fract_x
_atom_site_fract_y
_atom_site_fract_z
_atom_site_occupancy
La1 La 0.000 0.000 0.000 1
Ta1 Ta 0.000 0.000 0.478 1
Ta2 Ta 0.500 0.500 0.291 1
Hg1 Hg 0.500 0.500 0.702 1

---

12.
# LaTa2Hg (GGA-PBEsol, optimized geometry)
# - Theoretical density: 13138 kg/m3
# - Spin magnetization: 0.0 μB per formula unit
# - E_form: 0.5249 eV/atom
data_LaTa2Hg
_chemical_formula_sum 'La1 Ta2 Hg1'
_space_group_name_H-M_alt 'P 4/m m m'
_space_group_IT_number 123
_space_group_name_Hall '-P 4 2'
_cell_length_a 3.593
_cell_length_b 3.593
_cell_length_c 6.867
_cell_angle_alpha 90.00
_cell_angle_beta 90.00
_cell_angle_gamma 90.00
loop_
_atom_site_label
_atom_site_type_symbol
_atom_site_fract_x
_atom_site_fract_y
_atom_site_fract_z
_atom_site_occupancy
La1 La 0.000 0.000 0.000 1
Ta1 Ta 0.500 0.500 0.313 1
Hg1 Hg 0.000 0.000 0.500 1

---

13.
# LaTaHg2 (GGA-PBEsol, optimized geometry)
# - Theoretical density: 13339 kg/m3
# - Spin magnetization: 0.0 μB per formula unit
# - E_form: 0.1821 eV/atom
# - E above lowest polymorph: 0.1811 eV/atom
data_LaTaHg2
_chemical_formula_sum 'La2 Ta2 Hg4'
_space_group_name_H-M_alt 'C 1 m 1'
_space_group_IT_number 8
_cell_length_a 11.383
_cell_length_b 3.140
_cell_length_c 5.414
_cell_angle_alpha 90.00
_cell_angle_beta 111.92
_cell_angle_gamma 90.00
loop_
_space_group_symop_operation_xyz
'x,y,z'
'x,-y,z'
'x+1/2,y+1/2,z'
'x+1/2,-y+1/2,z'
loop_
_atom_site_label
_atom_site_type_symbol
_atom_site_fract_x
_atom_site_fract_y
_atom_site_fract_z
_atom_site_occupancy
La1 La 0.000 0.000 0.000 1
Ta1 Ta 0.249 0.000 0.853 1
Hg1 Hg 0.034 0.500 0.521 1
Hg2 Hg 0.278 0.500 0.361 1

---

14.
# LaTaHg2 (GGA-PBEsol, optimized geometry)
# - Theoretical density: 13379 kg/m3
# - Spin magnetization: 0.0 μB per formula unit
# - E_form: 0.1407 eV/atom
# - E above lowest polymorph: 0.1397 eV/atom
data_LaTaHg2
_chemical_formula_sum 'La1 Ta1 Hg2'
_space_group_name_H-M_alt 'P 4 m m'
_space_group_IT_number 99
_cell_length_a 3.136
_cell_length_b 3.136
_cell_length_c 9.099
_cell_angle_alpha 90.00
_cell_angle_beta 90.00
_cell_angle_gamma 90.00
loop_
_space_group_symop_operation_xyz
'x,y,z'
'-y,x,z'
'-x,-y,z'
'y,-x,z'
'-x,y,z'
'y,x,z'
'x,-y,z'
'-y,-x,z'
loop_
_atom_site_label
_atom_site_type_symbol
_atom_site_fract_x
_atom_site_fract_y
_atom_site_fract_z
_atom_site_occupancy
La1 La 0.000 0.000 0.000 1
Ta1 Ta 0.500 0.500 0.268 1
Hg1 Hg 0.000 0.000 0.481 1
Hg2 Hg 0.500 0.500 0.722 1

---

15.
# LaTaHg2 (GGA-PBEsol, optimized geometry)
# - Theoretical density: 13211 kg/m3
# - Spin magnetization: 0.0 μB per formula unit
# - E_form: 0.1845 eV/atom
# - E above lowest polymorph: 0.1835 eV/atom
data_LaTaHg2
_chemical_formula_sum 'La2 Ta2 Hg4'
_space_group_name_H-M_alt 'C 1 2/m 1'
_space_group_IT_number 12
_cell_length_a 10.512
_cell_length_b 3.109
_cell_length_c 5.648
_cell_angle_alpha 90.00
_cell_angle_beta 100.87
_cell_angle_gamma 90.00
loop_
_space_group_symop_operation_xyz
'x,y,z'
'-x,-y,-z'
'-x,y,-z'
'x,-y,z'
'x+1/2,y+1/2,z'
'-x+1/2,-y+1/2,-z'
'-x+1/2,y+1/2,-z'
'x+1/2,-y+1/2,z'
loop_
_atom_site_label
_atom_site_type_symbol
_atom_site_fract_x
_atom_site_fract_y
_atom_site_fract_z
_atom_site_occupancy
La1 La 0.000 0.000 0.000 1
Ta1 Ta 0.000 0.500 0.500 1
Hg1 Hg 0.237 0.000 0.720 1

---

| no. | uncorrected energy (eV/atom) |
| --- | --- |
| 1 | -4.560 |
| 2 | -3.818 |
| 3 | -2.148 |
| 4 | -2.653 |
| 5 | -2.637 |
| 6 | -2.653 |
| 7 | -2.649 |
| 8 | -6.916 |
| 9 | -4.757 |
| 10 | -4.723 |
| 11 | -7.566 |
| 12 | -7.229 |
| 13 | -4.576 |
| 14 | -4.617 |
| 15 | -4.573 |